[1]
This record from Alexandria describes MnBeSe2 after structural relaxation. The functional is GGA-PBE.

abc: 6.2445 3.7690 7.3460
angles: 89.90 89.16 90.01
Site moments in Bohr magnetons follow the coordinates.
Fractional positions:
Be  0.6674  0.4922  0.3523  0.02
Be  0.1821  0.4906  0.7015  0.02
Mn  0.3504  0.9920  0.4744  4.17
Mn  0.0011  0.9938  0.1376  4.26
Se  0.5374  0.4915  0.6450  0.11
Se  0.0381  0.9904  0.8018  0.07
Se  0.0396  0.4927  0.3737  0.11
Se  0.5804  0.9929  0.1845  0.11

Output
N(E_F)	2.64	states/eV per cell
size of the total moment	9.88	μB/cell
uncorrected formation energy	-0.41	eV per atom


[2]
This record from Alexandria describes NaGe3Ir after structural relaxation. The functional is GGA-PBE.

abc: 4.9176 4.9176 4.9176
angles: 90.00 90.00 90.00
Site moments in Bohr magnetons follow the coordinates.
Fractional positions:
Na  0.5000  0.5000  0.5000  0.01
Ge  0.0000  0.5000  0.0000  0.10
Ge  0.0000  0.0000  0.5000  0.20
Ge  0.5000  0.0000  0.0000  0.04
Ir  0.0000  0.0000  0.0000  0.38

Output
energy above the lowest structure with this stoichiometry	0.4285	eV/atom
formation energy from the elements	0.275	eV/atom
N(E_F)	8.23	states/eV per cell
size of the total moment	1.32	μB/cell


[3]
This record from Alexandria describes NiRhBr after structural relaxation. The functional is GGA-PBE.

abc: 5.5307 5.5307 5.5307
angles: 147.49 147.49 46.63
Site moments in Bohr magnetons follow the coordinates.
Fractional positions:
Br  0.9931  0.9931  0.0000  0.12
Ni  0.3217  0.3217  0.0000  1.01
Rh  0.6852  0.6852  0.0000  1.06

Output
energy above the lowest structure with this stoichiometry	0.1015	eV/atom
N(E_F)	3.67	states/eV per cell
size of the total moment	2.18	μB/cell
uncorrected formation energy	0.56	eV per atom


[4]
This record from Alexandria describes FeAs after structural relaxation. The functional is GGA-PBE.

abc: 3.8785 3.8785 14.8934
angles: 90.00 90.00 120.00
Site moments in Bohr magnetons follow the coordinates.
Fractional positions:
As  0.0000  0.0000  0.0942  -0.03
As  0.0000  0.0000  0.9058  -0.03
As  0.3333  0.6667  0.4309  -0.03
As  0.3333  0.6667  0.2468  -0.02
As  0.6667  0.3333  0.7532  -0.02
As  0.6667  0.3333  0.5691  -0.03
Fe  0.0000  0.0000  0.3062  2.13
Fe  0.0000  0.0000  0.6938  2.13
Fe  0.3333  0.6667  0.6394  1.94
Fe  0.3333  0.6667  0.9807  1.86
Fe  0.6667  0.3333  0.0193  1.86
Fe  0.6667  0.3333  0.3606  1.94

Output
formation energy from the elements	0.139	eV/atom
N(E_F)	9.00	states/eV per cell
size of the total moment	11.76	μB/cell


[5]
This record from Alexandria describes BaTcF2 after structural relaxation. The functional is GGA-PBE.

abc: 4.7281 4.7281 4.7281
angles: 60.00 60.00 60.00
Site moments in Bohr magnetons follow the coordinates.
Fractional positions:
F  0.2500  0.2500  0.2500  0.07
F  0.7500  0.7500  0.7500  0.07
Ba  0.5000  0.5000  0.5000  0.00
Tc  0.0000  0.0000  0.0000  2.98

Output
energy above the lowest structure with this stoichiometry	0.4474	eV/atom
N(E_F)	3.86	states/eV per cell
size of the total moment	3.71	μB/cell
uncorrected formation energy	-1.08	eV per atom


[6]
This record from Alexandria describes Be2CdAg after structural relaxation. The functional is GGA-PBE.

abc: 4.5567 4.5567 5.0890
angles: 70.08 70.08 37.40
Fractional positions:
Be  0.9975  0.9975  0.0899
Be  0.5025  0.5025  0.4101
Ag  0.2500  0.2500  0.2500
Cd  0.7500  0.7500  0.7500

Output
formation energy from the elements	0.364	eV/atom
N(E_F)	0.59	states/eV per cell
size of the total moment	0.00	μB/cell


[7]
This record from Alexandria describes Sc2Be after structural relaxation. The functional is GGA-PBE.

abc: 3.1868 3.1868 6.0321
angles: 105.32 105.32 90.00
Fractional positions:
Be  0.0000  0.0000  0.0000
Sc  0.3634  0.3634  0.7268
Sc  0.6366  0.6366  0.2732

Output
energy above the lowest structure with this stoichiometry	0.0132	eV/atom
formation energy from the elements	-0.018	eV/atom
N(E_F)	1.64	states/eV per cell
size of the total moment	0.00	μB/cell


[8]
This record from Alexandria describes Rb2LaSbCl6 after structural relaxation. The functional is GGA-PBE.

abc: 7.7529 7.7529 8.7161
angles: 63.59 63.59 90.00
Fractional positions:
Sb  0.5000  0.5000  0.0000
Cl  0.2042  0.2042  0.5916
Cl  0.7958  0.7958  0.4084
Cl  0.2520  0.2520  0.0000
Cl  0.7480  0.7480  0.0000
Cl  0.7480  0.2520  0.0000
Cl  0.2520  0.7480  0.0000
Rb  0.7500  0.2500  0.5000
Rb  0.2500  0.7500  0.5000
La  0.0000  0.0000  0.0000

Output
N(E_F)	0.00	states/eV per cell
size of the total moment	0.00	μB/cell
uncorrected formation energy	-1.62	eV per atom


[9]
This record from Alexandria describes InAgHgSb after structural relaxation. The functional is GGA-PBE.

abc: 5.2014 5.2014 5.2014
angles: 60.00 60.00 60.00
Fractional positions:
Sb  0.5000  0.5000  0.5000
Hg  0.0000  0.0000  0.0000
Ag  0.2500  0.2500  0.2500
In  0.7500  0.7500  0.7500

Output
N(E_F)	3.04	states/eV per cell
size of the total moment	0.00	μB/cell
uncorrected formation energy	0.14	eV per atom


[10]
This record from Alexandria describes CsTl2InNi after structural relaxation. The functional is GGA-PBE.

abc: 5.4009 5.4009 5.2268
angles: 90.00 90.00 90.00
Fractional positions:
Cs  0.5000  0.5000  0.5000
Ni  0.0000  0.0000  0.0000
Tl  0.0000  0.5000  0.0000
Tl  0.5000  0.0000  0.0000
In  0.0000  0.0000  0.5000

Output
formation energy from the elements	0.048	eV/atom
N(E_F)	3.40	states/eV per cell
size of the total moment	0.00	μB/cell


[11]
This record from Alexandria describes LiFe2Co after structural relaxation. The functional is GGA-PBE.

abc: 2.4582 2.4582 8.4417
angles: 90.00 90.00 111.22
Site moments in Bohr magnetons follow the coordinates.
Fractional positions:
Co  0.5000  0.5000  0.7610  1.69
Fe  0.0000  0.0000  0.9958  2.53
Fe  0.5000  0.5000  0.2381  2.42
Li  0.0000  0.0000  0.5051  -0.06

Output
energy above the lowest structure with this stoichiometry	0.0000	eV/atom
formation energy from the elements	0.109	eV/atom
N(E_F)	3.44	states/eV per cell
size of the total moment	6.47	μB/cell


[12]
This record from Alexandria describes Pm3Nd3Er after structural relaxation. The functional is GGA-PBE.

abc: 5.8556 9.7623 9.7623
angles: 120.00 90.00 90.00
Fractional positions:
Pm  0.2500  0.8074  0.7608
Pm  0.2500  0.2392  0.0466
Pm  0.2500  0.9534  0.1926
Pm  0.7500  0.1926  0.2392
Pm  0.7500  0.7608  0.9534
Pm  0.7500  0.0466  0.8074
Nd  0.7500  0.6192  0.5242
Nd  0.7500  0.4758  0.0950
Nd  0.7500  0.9050  0.3808
Nd  0.2500  0.3808  0.4758
Nd  0.2500  0.5242  0.9050
Nd  0.2500  0.0950  0.6192
Er  0.2500  0.6667  0.3333
Er  0.7500  0.3333  0.6667

Output
energy above the lowest structure with this stoichiometry	0.0000	eV/atom
formation energy from the elements	0.025	eV/atom
N(E_F)	24.04	states/eV per cell
size of the total moment	0.00	μB/cell


[13]
This record from Alexandria describes Tl4CuPd7 after structural relaxation. The functional is GGA-PBE.

abc: 4.9013 8.7799 6.1914
angles: 78.10 66.68 73.79
Fractional positions:
Tl  0.5850  0.2262  0.6037
Tl  0.4150  0.7738  0.3963
Tl  0.7458  0.6811  0.8273
Tl  0.2542  0.3189  0.1727
Cu  0.0000  0.0000  0.0000
Pd  0.8085  0.9238  0.4592
Pd  0.1915  0.0762  0.5408
Pd  0.0830  0.6882  0.1457
Pd  0.9170  0.3118  0.8543
Pd  0.3630  0.5229  0.7511
Pd  0.5000  0.0000  0.0000
Pd  0.6370  0.4771  0.2489

Output
formation energy from the elements	-0.023	eV/atom
N(E_F)	4.43	states/eV per cell
size of the total moment	0.00	μB/cell


[14]
This record from Alexandria describes SnAuI after structural relaxation. The functional is GGA-PBE.

abc: 4.2387 11.4094 7.7420
angles: 90.00 90.00 90.00
Fractional positions:
I  0.2500  0.8326  0.4439
I  0.7500  0.3326  0.0561
I  0.2500  0.6674  0.9439
I  0.7500  0.1674  0.5561
Au  0.7500  0.9365  0.2217
Au  0.7500  0.5635  0.7217
Au  0.2500  0.0635  0.7783
Au  0.2500  0.4365  0.2783
Sn  0.7500  0.5903  0.3630
Sn  0.7500  0.9097  0.8630
Sn  0.2500  0.0903  0.1370
Sn  0.2500  0.4097  0.6370

Output
energy above the lowest structure with this stoichiometry	0.0000	eV/atom
N(E_F)	0.71	states/eV per cell
size of the total moment	0.00	μB/cell
uncorrected formation energy	-0.14	eV per atom


[15]
This record from Alexandria describes HoFe3As3 after structural relaxation. The functional is GGA-PBE.

abc: 6.4026 6.4026 6.4026
angles: 90.00 90.00 90.00
Site moments in Bohr magnetons follow the coordinates.
Fractional positions:
As  0.0000  0.2500  0.5000  -0.04
As  0.0000  0.7500  0.5000  -0.04
As  0.5000  0.0000  0.7500  -0.04
As  0.7500  0.5000  0.0000  -0.04
As  0.5000  0.0000  0.2500  -0.04
As  0.2500  0.5000  0.0000  -0.04
Ho  0.5000  0.5000  0.5000  0.04
Ho  0.0000  0.0000  0.0000  0.04
Fe  0.2500  0.0000  0.5000  1.27
Fe  0.0000  0.5000  0.2500  1.27
Fe  0.5000  0.7500  0.0000  1.27
Fe  0.7500  0.0000  0.5000  1.27
Fe  0.0000  0.5000  0.7500  1.27
Fe  0.5000  0.2500  0.0000  1.27

Output
formation energy from the elements	0.018	eV/atom
N(E_F)	17.35	states/eV per cell
size of the total moment	7.76	μB/cell


[16]
This record from Alexandria describes Tb5ErAl2 after structural relaxation. The functional is GGA-PBE.

abc: 3.5320 8.2370 8.2370
angles: 77.79 77.62 77.62
Fractional positions:
Tb  0.0000  0.5000  0.5000
Tb  0.6377  0.5862  0.1384
Tb  0.3623  0.4138  0.8616
Tb  0.3623  0.8616  0.4138
Tb  0.6377  0.1384  0.5862
Er  0.0000  0.0000  0.0000
Al  0.7333  0.7667  0.7667
Al  0.2667  0.2333  0.2333

Output
formation energy from the elements	-0.076	eV/atom
N(E_F)	11.69	states/eV per cell
size of the total moment	0.00	μB/cell


[17]
This record from Alexandria describes Ba2NaAs2 after structural relaxation. The functional is GGA-PBE.

abc: 9.4965 9.4965 3.7805
angles: 90.00 90.00 90.00
Fractional positions:
Na  0.0000  0.0000  0.0000
Na  0.5000  0.5000  0.0000
As  0.1669  0.6669  0.5000
As  0.6669  0.8331  0.5000
As  0.8331  0.3331  0.5000
As  0.3331  0.1669  0.5000
Ba  0.3667  0.8667  0.0000
Ba  0.8667  0.6333  0.0000
Ba  0.6333  0.1333  0.0000
Ba  0.1333  0.3667  0.0000

Output
energy above the lowest structure with this stoichiometry	0.1023	eV/atom
formation energy from the elements	-0.661	eV/atom
N(E_F)	2.59	states/eV per cell
size of the total moment	0.00	μB/cell


[18]
This record from Alexandria describes LiHg5S5 after structural relaxation. The functional is GGA-PBE.

abc: 5.6759 7.0340 7.7756
angles: 110.72 90.00 113.79
Fractional positions:
Li  0.0000  0.0000  0.0000
Hg  0.6864  0.3728  0.3150
Hg  0.6427  0.2855  0.8239
Hg  0.0000  0.0000  0.5000
Hg  0.3573  0.7145  0.1761
Hg  0.3136  0.6272  0.6850
S  0.8702  0.7403  0.1857
S  0.7936  0.5872  0.6743
S  0.5000  0.0000  0.0000
S  0.2064  0.4128  0.3257
S  0.1298  0.2597  0.8143

Output
N(E_F)	2.62	states/eV per cell
size of the total moment	0.00	μB/cell
uncorrected formation energy	-0.13	eV per atom


[19]
This record from Alexandria describes Sc2InBr after structural relaxation. The functional is GGA-PBE.

abc: 8.9634 8.9634 8.9634
angles: 22.52 22.52 22.52
Fractional positions:
Br  0.2500  0.2500  0.2500
In  0.7500  0.7500  0.7500
Sc  0.9967  0.9967  0.9967
Sc  0.5033  0.5033  0.5033

Output
energy above the lowest structure with this stoichiometry	0.0594	eV/atom
N(E_F)	3.37	states/eV per cell
size of the total moment	0.00	μB/cell
uncorrected formation energy	-0.55	eV per atom


[20]
This record from Alexandria describes NaCaCN2 after structural relaxation. The functional is GGA-PBE.

abc: 5.4105 6.8383 7.2027
angles: 122.03 90.00 90.00
Fractional positions:
Na  0.8170  0.5000  0.7500
Na  0.1830  0.5000  0.2500
Ca  0.4996  0.0000  0.2500
Ca  0.5004  0.0000  0.7500
C  0.0000  0.0000  0.0000
C  0.0000  0.0000  0.5000
N  0.7835  0.9316  0.9658
N  0.7835  0.0684  0.5342
N  0.2165  0.9316  0.4658
N  0.2165  0.0684  0.0342

Output
energy above the lowest structure with this stoichiometry	0.0000	eV/atom
N(E_F)	2.11	states/eV per cell
size of the total moment	0.00	μB/cell
uncorrected formation energy	-0.54	eV per atom